1.
Compound: CaRu2W
Source: the Alexandria database
Functional: PBE
Structure: relaxed

```
data_CaRu2W
_chemical_formula_sum 'Ca1 Ru2 W1'
_cell_length_a 3.1377
_cell_length_b 3.1377
_cell_length_c 7.1471
_cell_angle_alpha 90.00
_cell_angle_beta 90.00
_cell_angle_gamma 90.00
_symmetry_space_group_name_H-M 'P 1'
_symmetry_Int_Tables_number 1
loop_
_symmetry_equiv_pos_as_xyz
'x,y,z'
loop_
_atom_site_label
_atom_site_fract_x
_atom_site_fract_y
_atom_site_fract_z
_atom_site_occupancy
Ca1 0.0000 0.0000 0.0000 1
Ru1 0.5000 0.5000 0.2958 1
Ru2 0.5000 0.5000 0.7042 1
W1 0.0000 0.0000 0.5000 1
```

Properties
- Energy relative to the lowest polymorph listed for this composition: 0.0 meV per atom
- Total DFT energy (no corrections): -8.28 eV/atom
- Total moment: 0.0 μB per cell

***

2.
Compound: CaRu2W
Source: the Alexandria database
Functional: PBE
Structure: relaxed

```
data_CaRu2W
_chemical_formula_sum 'Ca3 Ru6 W3'
_cell_length_a 2.8573
_cell_length_b 2.8573
_cell_length_c 28.7070
_cell_angle_alpha 90.00
_cell_angle_beta 90.00
_cell_angle_gamma 120.00
_symmetry_space_group_name_H-M 'P 1'
_symmetry_Int_Tables_number 1
loop_
_symmetry_equiv_pos_as_xyz
'x,y,z'
loop_
_atom_site_label
_atom_site_fract_x
_atom_site_fract_y
_atom_site_fract_z
_atom_site_occupancy
Ca1 0.0000 0.0000 0.0000 1
Ca2 0.3333 0.6667 0.6667 1
Ca3 0.6667 0.3333 0.3333 1
Ru1 0.0000 0.0000 0.2456 1
Ru2 0.0000 0.0000 0.5058 1
Ru3 0.3333 0.6667 0.1724 1
Ru4 0.3333 0.6667 0.9122 1
Ru5 0.6667 0.3333 0.5789 1
Ru6 0.6667 0.3333 0.8391 1
W1 0.0000 0.0000 0.7633 1
W2 0.3333 0.6667 0.4300 1
W3 0.6667 0.3333 0.0967 1
```

Properties
- Energy relative to the lowest polymorph listed for this composition: 511.3 meV per atom
- Total DFT energy (no corrections): -7.77 eV/atom
- Total moment: 0.0 μB per cell